Record 1
Material: NaAlHO3
Method: DFT, PBE-GGA
State: optimized geometry

Unit cell a=6.3296 b=2.9095 c=6.9500 alpha=90.00 beta=112.77 gamma=90.00
With the nearest neighbours (Å) after each atom.
Space group P2_1/m (No. 11)
Inequivalent atoms, fractional coordinates:
Na 0.2336 0.2500 0.2547 x2  6 O 2.37-2.59, 2 H 2.43
Al 0.3296 0.7500 0.8328 x2  6 O 1.88-1.97
H 0.0838 0.7500 0.4521 x2  1 O 0.99
O 0.1276 0.2500 0.8172 x2  1 H 1.83, 2 Al 1.91
O 0.2488 0.7500 0.5430 x2  1 H 0.99
O 0.4485 0.7500 0.1298 x2  3 Al 1.90-1.97

Computed properties:
total magnetic moment	0.168	μB per atom
energy	-0.2070	Ha/atom



Record 2
Material: SmPu2Ni
Method: DFT, PBE-GGA
State: optimized geometry

Unit cell a=3.4865 b=3.4865 c=30.3389 alpha=90.00 beta=90.00 gamma=120.00
With the nearest neighbours (Å) after each atom.
Space group R-3m (No. 166, hexagonal axes)
Inequivalent atoms, fractional coordinates:
Sm 0.0000 0.0000 0.0000 x3  2 Pu 3.23, 6 Sm 3.49
Pu 0.0000 0.0000 0.1065 x6  3 Ni 2.72
Ni 0.0000 0.0000 0.5000 x3  6 Pu 2.72

Computed properties:
formation energy from the elements	0.3087	eV/atom
total magnetic moment	2.918	μB per atom
energy	-0.3485	Ha/atom



Record 3
Material: PmHo7Cd2
Method: DFT, PBE-GGA
State: optimized geometry

Unit cell a=8.9978 b=15.3401 c=5.3466 alpha=90.00 beta=90.00 gamma=90.00
With the nearest neighbours (Å) after each atom.
Space group Cmmm (No. 65)
Inequivalent atoms, fractional coordinates:
Pm 0.0000 0.0000 0.0000 x2  10 Ho 3.56-3.63
Ho 0.0000 0.2320 0.0000 x4  2 Cd 2.89
Ho 0.0000 0.5000 0.5000 x2  2 Cd 3.01
Ho 0.1813 0.1197 0.5000 x8  2 Cd 3.10-3.26, 2 Ho 3.26-3.41
Cd 0.0000 0.3038 0.5000 x4  5 Ho 2.89-3.10

Computed properties:
formation energy from the elements	0.4182	eV/atom
total magnetic moment	0.278	μB per atom
energy	-0.1266	Ha/atom



Record 4
Material: BaPr2Ga
Method: DFT, PBE-GGA
State: optimized geometry

Unit cell a=5.0762 b=5.0762 c=20.3515 alpha=90.00 beta=90.00 gamma=120.00
With the nearest neighbours (Å) after each atom.
Space group R3m (No. 160, hexagonal axes)
Inequivalent atoms, fractional coordinates:
Ba 0.0000 0.0000 0.0000 x3  6 Pr 3.70-3.81, 1 Ga 3.70
Pr 0.0000 0.0000 0.5555 x3  3 Ga 3.04
Pr 0.0000 0.0000 0.7863 x3  3 Ga 3.19
Ga 0.0000 0.0000 0.1820 x3  6 Pr 3.04-3.19

Computed properties:
formation energy from the elements	-0.0645	eV/atom
energy relative to the lowest polymorph listed for this composition	104	meV/atom
total magnetic moment	0.000	μB per atom
energy	-0.1357	Ha/atom



Record 5
Material: Mg4BeTl
Method: DFT, PBE-GGA
State: optimized geometry

Unit cell a=8.1574 b=8.1574 c=8.1574 alpha=90.00 beta=90.00 gamma=90.00
With the nearest neighbours (Å) after each atom.
Space group F-43m (No. 216)
Inequivalent atoms, fractional coordinates:
Mg 0.1245 0.1245 0.3755 x16  6 Mg 2.87-2.90
Be 0.2500 0.2500 0.7500 x4  12 Mg 3.38, 4 Tl 3.53
Tl 0.0000 0.0000 0.0000 x4  12 Mg 3.38, 4 Be 3.53

Computed properties:
formation energy from the elements	0.4079	eV/atom
total magnetic moment	0.000	μB per atom
energy	-0.0614	Ha/atom



Record 6
Material: KMgIn2Pt
Method: DFT, PBE-GGA
State: optimized geometry

Unit cell a=5.2583 b=5.2583 c=5.2068 alpha=90.00 beta=90.00 gamma=90.00
With the nearest neighbours (Å) after each atom.
Space group P4/mmm (No. 123)
Inequivalent atoms, fractional coordinates:
K 0.0000 0.0000 0.0000 x1  8 In 3.70, 4 Mg 3.72
Mg 0.5000 0.5000 0.0000 x1  2 Pt 2.60
In 0.0000 0.5000 0.5000 x2  2 Pt 2.63
Pt 0.5000 0.5000 0.5000 x1  2 Mg 2.60, 4 In 2.63

Computed properties:
formation energy from the elements	-0.2975	eV/atom
total magnetic moment	0.000	μB per atom
energy	-0.1154	Ha/atom



Record 7
Material: CdFeTe2
Method: DFT, PBE-GGA
State: optimized geometry

Unit cell a=3.7506 b=3.7506 c=25.7526 alpha=90.00 beta=90.00 gamma=120.00
With the nearest neighbours (Å) after each atom.
Space group R-3m (No. 166, hexagonal axes)
Inequivalent atoms, fractional coordinates:
Cd 0.0000 0.0000 0.0000 x3  2 Te 2.95
Fe 0.0000 0.0000 0.5000 x3  6 Te 2.55
Te 0.0000 0.0000 0.1144 x6  3 Fe 2.55

Computed properties:
total magnetic moment	0.000	μB per atom
raw formation energy	0.044	eV per atom
energy	-0.1422	Ha/atom



Record 8
Material: TaNiAs2
Method: DFT, PBE-GGA
State: optimized geometry

Unit cell a=3.4095 b=3.5541 c=10.6350 alpha=90.00 beta=90.00 gamma=90.00
With the nearest neighbours (Å) after each atom.
Space group Imm2 (No. 44)
Inequivalent atoms, fractional coordinates:
Ta 0.0000 0.0000 0.0000 x2  6 As 2.61-2.64
Ni 0.0000 0.5000 0.7294 x2  6 As 2.52-2.57
As 0.0000 0.0000 0.4099 x2  2 Ni 2.57, 4 Ta 2.64
As 0.0000 0.5000 0.1793 x2  4 Ni 2.52, 2 Ta 2.61

Computed properties:
formation energy from the elements	-0.1653	eV/atom
total magnetic moment	0.000	μB per atom
energy	-0.2535	Ha/atom



Record 9
Material: PmLuGeRh
Method: DFT, PBE-GGA
State: optimized geometry

Unit cell a=7.0282 b=7.0282 c=7.0282 alpha=90.00 beta=90.00 gamma=90.00
With the nearest neighbours (Å) after each atom.
Space group F-43m (No. 216)
Inequivalent atoms, fractional coordinates:
Pm 0.0000 0.0000 0.0000 x4  4 Ge 3.04, 4 Rh 3.04
Lu 0.0000 0.0000 0.5000 x4  4 Rh 3.04, 4 Ge 3.04
Ge 0.2500 0.2500 0.2500 x4  4 Lu 3.04, 4 Pm 3.04
Rh 0.2500 0.2500 0.7500 x4  4 Pm 3.04, 4 Lu 3.04

Computed properties:
formation energy from the elements	-0.6905	eV/atom
total magnetic moment	0.000	μB per atom
energy	-0.2205	Ha/atom



Record 10
Material: HgSbI2
Method: DFT, PBE-GGA
State: optimized geometry

Unit cell a=8.7986 b=10.0873 c=9.0929 alpha=90.00 beta=111.64 gamma=90.00
With the nearest neighbours (Å) after each atom.
Space group P2_1/c (No. 14)
Inequivalent atoms, fractional coordinates:
Hg 0.1856 0.1479 0.4886 x4  1 Sb 2.75, 1 I 2.77
Sb 0.4688 0.1292 0.4287 x4  1 Hg 2.75, 1 I 2.79, 1 Sb 2.87
I 0.0347 0.6747 0.8603 x4  1 Hg 2.77
I 0.3360 0.0062 0.1340 x4  1 Sb 2.79

Computed properties:
energy relative to the lowest polymorph listed for this composition	0	meV/atom
total magnetic moment	0.000	μB per atom
raw formation energy	-0.195	eV per atom
energy	-0.0763	Ha/atom



Record 11
Material: Ta2FeAs
Method: DFT, PBE-GGA
State: optimized geometry

Unit cell a=3.6848 b=3.2725 c=10.3143 alpha=90.00 beta=90.00 gamma=90.00
With the nearest neighbours (Å) after each atom.
Space group Amm2 (No. 38)
Inequivalent atoms, fractional coordinates:
Ta 0.0000 0.0000 0.0000 x2  4 As 2.66, 3 Fe 2.67-2.98
Ta 0.5000 0.0000 0.3324 x2  4 Fe 2.64, 3 As 2.74-2.92
Fe 0.0000 0.0000 0.7409 x2  2 As 2.36, 4 Ta 2.64
As 0.5000 0.0000 0.5983 x2  2 Fe 2.36

Computed properties:
formation energy from the elements	-0.2255	eV/atom
total magnetic moment	0.193	μB per atom
energy	-0.3465	Ha/atom



Record 12
Material: SrCaSn2Br8
Method: DFT, PBE-GGA
State: optimized geometry

Unit cell a=6.8092 b=7.1514 c=9.0469 alpha=89.99 beta=89.99 gamma=89.57
With the nearest neighbours (Å) after each atom.
Space group P-1 (No. 2)
Inequivalent atoms, fractional coordinates:
Sr 0.0000 0.0000 0.0000 x1  6 Br 3.07-3.08
Ca 0.0000 0.0000 0.5000 x1  6 Br 2.92-2.97
Sn 0.4998 0.4997 0.2551 x2  6 Br 3.01-3.02
Br 0.2353 0.8407 0.2609 x2  1 Ca 2.92, 1 Sn 3.02, 1 Sr 3.07
Br 0.2360 0.8415 0.7392 x2  1 Ca 2.92, 1 Sn 3.02, 1 Sr 3.07
Br 0.2577 0.3329 0.4994 x2  1 Ca 2.97, 2 Sn 3.01-3.02
Br 0.2659 0.3463 0.0006 x2  2 Sn 3.01-3.02, 1 Sr 3.08

Computed properties:
total magnetic moment	0.000	μB per atom
raw formation energy	-1.401	eV per atom
energy	-0.1283	Ha/atom